Compound: MnAl3F
Source: Alexandria via LeMat-Bulk
Functional: GGA+U
Structure: optimized geometry

Calculated values
Energy above the lowest structure with this stoichiometry: 0.000 eV per atom
N(E_F): 0.56 states/eV/atom
Magnetic moment: 4.251 Bohr magnetons per cell

Lattice parameters (Å, degrees): 4.4508 4.4508 4.4508 90.00 90.00 90.00
Last column: nearest neighbours and their distance in Å.
Fractional coordinates of all 5 atoms:
Mn  0.0000  0.0000  0.0000  12 Al 3.15
Al  0.0000  0.5000  0.5000  2 F 2.23
Al  0.5000  0.0000  0.5000  2 F 2.23
Al  0.5000  0.5000  0.0000  2 F 2.23
F  0.5000  0.5000  0.5000  6 Al 2.23